LiV3P5O19: optimized geometry, PBE with a Hubbard U.

Summary:
ρ, g/cm³: 2.52
Magnetization, μB per atom: 0.107
Calculated volume, Å³/atom: 14.54
DFT total energy, eV per atom: -7.320

```
LiV3P5O19
1.0
8.505 0.060 0.028
-3.397 7.797 0.028
0.959 1.474 6.130
Li V P O
1 3 5 19
Cartesian
5.380 8.275 1.891 Li
4.018 6.181 0.958 V
4.145 3.178 5.101 V
1.222 5.079 5.101 V
4.117 6.332 4.301 P
4.366 2.910 1.742 P
0.888 5.171 1.742 P
6.331 1.530 0.072 P
-1.171 6.407 0.072 P
4.801 7.385 5.243 O
4.434 6.820 2.862 O
-0.258 3.930 5.530 O
3.696 1.359 5.530 O
4.770 4.962 4.562 O
2.599 6.374 4.562 O
2.197 5.924 1.423 O
4.522 4.412 1.423 O
6.127 2.620 5.319 O
-0.092 6.663 5.319 O
-0.279 6.219 1.414 O
5.797 2.269 1.414 O
4.129 2.657 3.209 O
0.753 4.852 3.209 O
2.451 3.770 5.059 O
-2.571 6.674 0.664 O
7.143 0.359 0.664 O
3.304 2.223 0.885 O
0.691 3.922 0.885 O
```